# K2Bi3Pt4Pb

A geometry-optimized K2Bi3Pt4Pb structure (PBE, Alexandria via LeMat-Bulk).

Geometry as CIF:
```
data_K2Bi3Pt4Pb
_chemical_formula_sum 'K2 Bi3 Pt4 Pb1'
_cell_length_a 4.998
_cell_length_b 4.998
_cell_length_c 10.735
_cell_angle_alpha 90.00
_cell_angle_beta 90.00
_cell_angle_gamma 90.00
_space_group_name_H-M_alt 'P -4 m 2'
_space_group_IT_number 115
_space_group_name_Hall 'P -4 -2'
loop_
_atom_site_label
_atom_site_type_symbol
_atom_site_fract_x
_atom_site_fract_y
_atom_site_fract_z
K1 K 0.000 0.500 0.242
Bi1 Bi 0.000 0.500 0.883
Bi2 Bi 0.500 0.500 0.500
Pt1 Pt 0.000 0.000 0.000
Pt2 Pt 0.000 0.500 0.622
Pt3 Pt 0.500 0.500 0.000
Pb1 Pb 0.000 0.000 0.500
```

Calculated values
calculated total energy: -4.462 eV per atom
E_form: -291 meV per atom